No. 1
DFT (PBE-GGA) results for a relaxed Al2ZnPdPt5 crystal.

abc: 7.592 7.592 7.592
angles: 123.11 123.11 84.69
Sites, in units of the cell vectors:
Al 0.115 0.615 0.730
Al 0.385 0.115 0.500
Al 0.615 0.885 0.500
Al 0.885 0.385 0.270
Zn 0.250 0.250 0.000
Zn 0.750 0.750 0.000
Pd 0.250 0.750 0.500
Pd 0.750 0.250 0.500
Pt 0.000 0.000 0.000
Pt 0.077 0.167 0.500
Pt 0.167 0.667 0.090
Pt 0.333 0.423 0.500
Pt 0.423 0.923 0.090
Pt 0.500 0.500 0.000
Pt 0.577 0.077 0.910
Pt 0.667 0.577 0.500
Pt 0.833 0.333 0.910
Pt 0.923 0.833 0.500

Results
**SG**: I4/mcm (140)


No. 2
DFT (PBE-GGA) results for a relaxed Zr2Al5Pd2Pt crystal.

abc: 9.586 9.586 3.696
angles: 90.00 90.00 90.00
Sites, in units of the cell vectors:
Zr 0.185 0.315 0.000
Zr 0.315 0.815 0.000
Zr 0.685 0.185 0.000
Zr 0.815 0.685 0.000
Al 0.000 0.500 0.500
Al 0.049 0.802 0.500
Al 0.198 0.049 0.500
Al 0.302 0.549 0.500
Al 0.451 0.302 0.500
Al 0.500 0.000 0.500
Al 0.549 0.698 0.500
Al 0.698 0.451 0.500
Al 0.802 0.951 0.500
Al 0.951 0.198 0.500
Pd 0.116 0.616 0.000
Pd 0.384 0.116 0.000
Pd 0.616 0.884 0.000
Pd 0.884 0.384 0.000
Pt 0.000 0.000 0.000
Pt 0.500 0.500 0.000

Results
**SG**: P4/mbm (127)


No. 3
DFT (PBE-GGA) results for a relaxed PuAlPd3 crystal.

abc: 6.451 6.451 6.451
angles: 129.09 106.97 94.45
Sites, in units of the cell vectors:
Pu 0.251 0.001 0.250
Pu 0.749 0.999 0.750
Al 0.000 0.500 0.500
Al 0.500 0.500 0.000
Pd 0.194 0.000 0.694
Pd 0.194 0.500 0.194
Pd 0.423 0.673 0.750
Pd 0.577 0.327 0.250
Pd 0.806 0.000 0.306
Pd 0.806 0.500 0.806

Results
**SG**: Imma (74)


No. 4
DFT (PBE-GGA) results for a relaxed PuAl6Pd3 crystal.

abc: 9.963 3.023 11.575
angles: 90.00 99.15 90.00
Sites, in units of the cell vectors:
Pu 0.006 0.250 0.255
Pu 0.994 0.750 0.745
Al 0.113 0.750 0.494
Al 0.220 0.250 0.904
Al 0.247 0.250 0.674
Al 0.314 0.250 0.223
Al 0.414 0.750 0.054
Al 0.452 0.750 0.594
Al 0.548 0.250 0.406
Al 0.586 0.250 0.946
Al 0.686 0.750 0.777
Al 0.753 0.750 0.326
Al 0.780 0.750 0.096
Al 0.887 0.250 0.506
Pd 0.156 0.750 0.068
Pd 0.302 0.250 0.440
Pd 0.416 0.750 0.819
Pd 0.584 0.250 0.181
Pd 0.698 0.750 0.560
Pd 0.844 0.250 0.932

Results
**SG**: P2_1/m (11)


No. 5
DFT (PBE-GGA) results for a relaxed PuAl11Pd crystal.

abc: 6.852 6.852 7.144
angles: 97.27 97.27 135.13
Sites, in units of the cell vectors:
Pu 0.000 0.000 0.000
Al 0.000 0.000 0.500
Al 0.000 0.500 0.000
Al 0.005 0.651 0.647
Al 0.287 0.502 0.782
Al 0.349 0.995 0.353
Al 0.498 0.713 0.218
Al 0.500 0.000 0.000
Al 0.502 0.287 0.782
Al 0.651 0.005 0.647
Al 0.713 0.498 0.218
Al 0.995 0.349 0.353
Pd 0.500 0.500 0.500

Results
**SG**: C2/m (12)


No. 6
DFT (PBE-GGA) results for a relaxed PuAlPd4 crystal.

abc: 7.774 3.914 6.966
angles: 90.00 90.00 90.00
Sites, in units of the cell vectors:
Pu 0.250 0.000 0.144
Pu 0.750 0.000 0.856
Al 0.250 0.000 0.712
Al 0.750 0.000 0.288
Pd 0.000 0.000 0.500
Pd 0.055 0.500 0.809
Pd 0.250 0.500 0.452
Pd 0.445 0.500 0.809
Pd 0.500 0.000 0.500
Pd 0.555 0.500 0.191
Pd 0.750 0.500 0.548
Pd 0.945 0.500 0.191

Results
**SG**: Pmma (51)


No. 7
DFT (PBE-GGA) results for a relaxed Pu3Al6Pd20 crystal.

abc: 8.827 8.827 8.827
angles: 60.00 60.00 60.00
Sites, in units of the cell vectors:
Pu 0.000 0.000 0.000
Pu 0.250 0.250 0.250
Pu 0.750 0.750 0.750
Al 0.273 0.273 0.727
Al 0.273 0.727 0.273
Al 0.273 0.727 0.727
Al 0.727 0.273 0.273
Al 0.727 0.273 0.727
Al 0.727 0.727 0.273
Pd 0.000 0.000 0.344
Pd 0.000 0.000 0.656
Pd 0.000 0.344 0.000
Pd 0.000 0.344 0.656
Pd 0.000 0.656 0.000
Pd 0.000 0.656 0.344
Pd 0.140 0.620 0.620
Pd 0.344 0.000 0.000
Pd 0.344 0.000 0.656
Pd 0.344 0.656 0.000
Pd 0.380 0.380 0.380
Pd 0.380 0.380 0.860
Pd 0.380 0.860 0.380
Pd 0.620 0.140 0.620
Pd 0.620 0.620 0.140
Pd 0.620 0.620 0.620
Pd 0.656 0.000 0.000
Pd 0.656 0.000 0.344
Pd 0.656 0.344 0.000
Pd 0.860 0.380 0.380

Results
**SG**: Fm-3m (225)


No. 8
DFT (PBE-GGA) results for a relaxed PuAl4Pd2 crystal.

abc: 17.280 4.321 6.641
angles: 90.00 90.00 90.00
Sites, in units of the cell vectors:
Pu 0.137 0.250 0.016
Pu 0.363 0.750 0.516
Pu 0.637 0.250 0.484
Pu 0.863 0.750 0.984
Al 0.036 0.750 0.832
Al 0.072 0.250 0.494
Al 0.187 0.750 0.326
Al 0.192 0.750 0.730
Al 0.308 0.250 0.230
Al 0.313 0.250 0.826
Al 0.428 0.750 0.994
Al 0.464 0.250 0.332
Al 0.536 0.750 0.668
Al 0.572 0.250 0.006
Al 0.687 0.750 0.174
Al 0.692 0.750 0.770
Al 0.808 0.250 0.270
Al 0.813 0.250 0.674
Al 0.928 0.750 0.506
Al 0.964 0.250 0.168
Pd 0.038 0.750 0.247
Pd 0.217 0.250 0.530
Pd 0.283 0.750 0.030
Pd 0.462 0.250 0.747
Pd 0.538 0.750 0.253
Pd 0.717 0.250 0.970
Pd 0.783 0.750 0.470
Pd 0.962 0.250 0.753

Results
**SG**: Pnma (62)


No. 9
DFT (PBE-GGA) results for a relaxed PuAlPd6 crystal.

abc: 7.079 7.079 7.079
angles: 45.55 45.55 45.55
Sites, in units of the cell vectors:
Pu 0.000 0.000 0.000
Al 0.500 0.500 0.500
Pd 0.064 0.576 0.576
Pd 0.424 0.424 0.936
Pd 0.424 0.936 0.424
Pd 0.576 0.064 0.576
Pd 0.576 0.576 0.064
Pd 0.936 0.424 0.424

Results
**ΔE to the lowest computed polymorph**: 396.5 meV/atom
**SG**: R-3m (166)


No. 10
DFT (PBE-GGA) results for a relaxed PuAlPd2 crystal.

abc: 3.057 3.057 7.542
angles: 90.00 90.00 90.00
Sites, in units of the cell vectors:
Pu 0.000 0.000 0.000
Al 0.000 0.000 0.500
Pd 0.500 0.500 0.303
Pd 0.500 0.500 0.697

Results
**SG**: P4/mmm (123)


No. 11
DFT (PBE-GGA) results for a relaxed PuAlPd6 crystal.

abc: 4.061 4.061 7.947
angles: 90.00 90.00 90.00
Sites, in units of the cell vectors:
Pu 0.000 0.000 0.000
Al 0.000 0.000 0.500
Pd 0.000 0.500 0.266
Pd 0.000 0.500 0.734
Pd 0.500 0.000 0.266
Pd 0.500 0.000 0.734
Pd 0.500 0.500 0.000
Pd 0.500 0.500 0.500

Results
**ΔE to the lowest computed polymorph**: 0.0 meV/atom
**SG**: P4/mmm (123)


No. 12
DFT (PBE-GGA) results for a relaxed Pu2AlPd3 crystal.

abc: 5.611 5.611 8.312
angles: 90.00 90.00 120.00
Sites, in units of the cell vectors:
Pu 0.333 0.667 0.071
Pu 0.333 0.667 0.429
Pu 0.667 0.333 0.571
Pu 0.667 0.333 0.929
Al 0.000 0.000 0.000
Al 0.000 0.000 0.500
Pd 0.168 0.336 0.750
Pd 0.168 0.832 0.750
Pd 0.336 0.168 0.250
Pd 0.664 0.832 0.750
Pd 0.832 0.168 0.250
Pd 0.832 0.664 0.250

Results
**SG**: P6_3/mmc (194)


Number 1: energy relative to the elements -0.250 eV per atom. Number 2: energy relative to the elements -0.719 eV per atom. Number 3: energy relative to the elements -0.548 eV per atom. Number 4: energy relative to the elements -0.480 eV per atom. Number 5: energy relative to the elements -0.223 eV per atom. Number 6: energy relative to the elements -0.580 eV per atom. Number 7: energy relative to the elements -0.640 eV per atom. Number 8: energy relative to the elements -0.619 eV per atom. Number 9: energy relative to the elements -0.176 eV per atom. Number 10: energy relative to the elements -0.639 eV per atom. Number 11: energy relative to the elements -0.573 eV per atom. Number 12: energy relative to the elements -0.656 eV per atom.